First-principles (GGA-PBE) data for an optimized crystal structure of TcRu2, as listed in the Alexandria database.

Structure (POSCAR):
```
TcRu2
1.0
2.720 0.000 0.000
-1.360 2.356 0.000
0.000 0.000 6.638
Tc Ru
1 2
Direct
0.000 0.000 0.000
0.333 0.667 0.669
0.667 0.333 0.331
```

## Properties
The density of states at the Fermi level is 3.48 states/eV per cell. For the polymorph energy (0 for the lowest one), the calculation gives 0.139 eV per atom. For the energy relative to the elements, the calculation gives 86 meV/atom. The calculated total energy comes out at -28.66 eV per cell.

First-principles (GGA-PBE) data for an optimized crystal structure of Tc2Ru, as listed in the Alexandria database.

Structure (POSCAR):
```
Tc2Ru
1.0
9.936 0.000 0.000
0.000 2.758 0.000
-1.550 0.000 6.268
Tc Ru
8 4
Direct
0.000 0.000 0.000
0.056 0.000 0.611
0.223 0.500 0.945
0.387 0.000 0.280
0.500 0.500 0.000
0.556 0.500 0.611
0.723 0.000 0.945
0.887 0.500 0.280
0.167 0.500 0.335
0.333 0.000 0.669
0.667 0.000 0.335
0.833 0.500 0.669
```

## Properties
The density of states at the Fermi level is 12.00 states/eV per cell. For the polymorph energy (0 for the lowest one), the calculation gives 0.004 eV per atom. For the energy relative to the elements, the calculation gives -43 meV/atom. The calculated total energy comes out at -120.54 eV per cell.

First-principles (GGA-PBE) data for an optimized crystal structure of Tc3Ru5, as listed in the Alexandria database.

Structure (POSCAR):
```
Tc3Ru5
1.0
2.539 -6.806 0.000
2.539 6.806 0.000
-2.194 0.000 6.784
Tc Ru
6 10
Direct
0.000 0.000 0.000
0.137 0.689 0.069
0.337 0.687 0.678
0.687 0.337 0.678
0.689 0.137 0.069
0.857 0.857 0.307
0.000 0.620 0.399
0.180 0.395 0.324
0.196 0.899 0.784
0.282 0.282 0.672
0.395 0.180 0.324
0.431 0.619 0.023
0.619 0.431 0.023
0.620 0.000 0.399
0.737 0.737 0.607
0.899 0.196 0.784
```

## Properties
The density of states at the Fermi level is 16.00 states/eV per cell. For the polymorph energy (0 for the lowest one), the calculation gives 0.192 eV per atom. For the energy relative to the elements, the calculation gives 251 meV/atom. The calculated total energy comes out at -150.94 eV per cell.

First-principles (GGA-PBE) data for an optimized crystal structure of Tc3Ru2, as listed in the Alexandria database.

Structure (POSCAR):
```
Tc3Ru2
1.0
0.000 6.534 2.382
4.658 0.000 2.382
4.658 6.534 0.000
Tc Ru
6 4
Direct
0.000 0.000 0.000
0.250 0.250 0.250
0.378 0.681 0.420
0.681 0.378 0.520
0.730 0.830 0.569
0.830 0.730 0.872
0.134 0.474 0.960
0.290 0.819 0.116
0.474 0.134 0.431
0.819 0.290 0.776
```

## Properties
The density of states at the Fermi level is 10.44 states/eV per cell. For the polymorph energy (0 for the lowest one), the calculation gives 0.161 eV per atom. For the energy relative to the elements, the calculation gives 105 meV/atom. The calculated total energy comes out at -98.25 eV per cell.

First-principles (GGA-PBE) data for an optimized crystal structure of Tc3Ru2, as listed in the Alexandria database.

Structure (POSCAR):
```
Tc3Ru2
1.0
0.000 6.561 3.582
3.158 0.000 3.582
3.158 6.561 0.000
Tc Ru
6 4
Direct
0.000 0.000 0.000
0.163 0.485 0.649
0.250 0.250 0.250
0.485 0.163 0.703
0.547 0.601 0.765
0.601 0.547 0.087
0.043 0.817 0.337
0.447 0.913 0.433
0.817 0.043 0.803
0.913 0.447 0.207
```

## Properties
The density of states at the Fermi level is 10.07 states/eV per cell. For the polymorph energy (0 for the lowest one), the calculation gives 0.283 eV per atom. For the energy relative to the elements, the calculation gives 227 meV/atom. The calculated total energy comes out at -97.03 eV per cell.

First-principles (GGA-PBE) data for an optimized crystal structure of TcRu3, as listed in the Alexandria database.

Structure (POSCAR):
```
TcRu3
1.0
3.240 0.000 0.000
0.000 3.240 0.000
0.000 0.000 5.530
Tc Ru
1 3
Direct
0.000 0.000 0.000
0.000 0.000 0.500
0.500 0.500 0.253
0.500 0.500 0.747
```

## Properties
The density of states at the Fermi level is 5.88 states/eV per cell. For the energy relative to the elements, the calculation gives 452 meV/atom. The calculated total energy comes out at -36.38 eV per cell.

First-principles (GGA-PBE) data for an optimized crystal structure of Tc2Ru, as listed in the Alexandria database.

Structure (POSCAR):
```
Tc2Ru
1.0
4.305 0.000 0.000
-2.153 3.729 0.000
0.000 0.000 5.425
Tc Ru
4 2
Direct
0.000 0.000 0.000
0.000 0.000 0.500
0.333 0.667 0.250
0.667 0.333 0.750
0.333 0.667 0.750
0.667 0.333 0.250
```

## Properties
The density of states at the Fermi level is 4.32 states/eV per cell. For the polymorph energy (0 for the lowest one), the calculation gives 0.115 eV per atom. For the energy relative to the elements, the calculation gives 69 meV/atom. The calculated total energy comes out at -59.60 eV per cell.

First-principles (GGA-PBE) data for an optimized crystal structure of TcRu2, as listed in the Alexandria database.

Structure (POSCAR):
```
TcRu2
1.0
2.717 -2.716 0.000
2.717 2.716 0.000
-2.710 0.000 11.508
Tc Ru
4 8
Direct
0.042 0.789 0.583
0.211 0.958 0.917
0.789 0.042 0.083
0.958 0.211 0.417
0.125 0.376 0.750
0.292 0.541 0.083
0.376 0.125 0.250
0.459 0.708 0.417
0.541 0.292 0.583
0.624 0.875 0.750
0.708 0.459 0.917
0.875 0.624 0.250
```

## Properties
The density of states at the Fermi level is 15.48 states/eV per cell. For the polymorph energy (0 for the lowest one), the calculation gives 0.120 eV per atom. For the energy relative to the elements, the calculation gives 67 meV/atom. The calculated total energy comes out at -114.87 eV per cell.

What did the fourth record say?
First-principles (GGA-PBE) data for an optimized crystal structure of Tc3Ru2, as listed in the Alexandria database.

Structure (POSCAR):
```
Tc3Ru2
1.0
0.000 6.534 2.382
4.658 0.000 2.382
4.658 6.534 0.000
Tc Ru
6 4
Direct
0.000 0.000 0.000
0.250 0.250 0.250
0.378 0.681 0.420
0.681 0.378 0.520
0.730 0.830 0.569
0.830 0.730 0.872
0.134 0.474 0.960
0.290 0.819 0.116
0.474 0.134 0.431
0.819 0.290 0.776
```

## Properties
The density of states at the Fermi level is 10.44 states/eV per cell. For the polymorph energy (0 for the lowest one), the calculation gives 0.161 eV per atom. For the energy relative to the elements, the calculation gives 105 meV/atom. The calculated total energy comes out at -98.25 eV per cell.